TiReTcGe2 | the Alexandria database | PBE-GGA | relaxed; energy of formation = 1.089 eV per atom; uncorrected energy = -6.9000 eV per atom; DOS at the Fermi energy = 1.74 states/eV/atom
1.0
-1.617 4.004 -1.833
-2.136 -2.487 -3.551
-3.885 -0.378 2.602
Re Ge Tc Ti
1 2 1 1
direct
0.000 0.000 0.000
0.000 0.000 0.500
0.500 0.000 0.000
0.000 0.500 0.000
0.500 0.500 0.500

---

HoPu2Pa | the Alexandria database | PBE-GGA | relaxed; ΔE to the lowest computed polymorph = 49 kJ/mol of formula units; energy of formation = 0.236 eV per atom; uncorrected energy = -10.4485 eV per atom; DOS at the Fermi energy = 2.87 states/eV/atom
1.0
-1.646 0.030 4.243
-0.924 -4.687 -0.325
4.368 -0.979 1.701
Pa Ho Pu
1 1 2
direct
0.500 0.500 0.500
0.500 0.000 0.000
0.000 0.000 0.500
0.000 0.500 0.000

---

CaZr2 | the Alexandria database | PBE-GGA | relaxed; ΔE to the lowest computed polymorph = 351 kJ/mol of formula units; energy of formation = 1.365 eV per atom; uncorrected energy = -5.0009 eV per atom; DOS at the Fermi energy = 1.59 states/eV/atom
1.0
5.033 0.000 0.000
2.517 4.359 0.000
2.517 1.453 4.110
Ca Zr
1 2
direct
0.000 0.000 0.000
0.250 0.250 0.250
0.750 0.750 0.750

---

Dy5Er8Th | the Alexandria database | PBE-GGA | relaxed; energy of formation = 0.288 eV per atom; uncorrected energy = -4.4927 eV per atom; DOS at the Fermi energy = 1.63 states/eV/atom
1.0
7.961 0.000 -2.605
-4.035 6.750 -2.885
0.108 0.000 8.376
Dy Er Th
5 8 1
direct
0.033 0.329 0.132
0.868 0.901 0.197
0.803 0.671 0.704
0.500 0.000 0.500
0.296 0.099 0.967
0.155 0.737 0.076
0.924 0.079 0.661
0.741 0.257 0.344
0.656 0.396 0.913
0.516 0.604 0.259
0.582 0.921 0.845
0.339 0.263 0.418
0.087 0.743 0.484
0.250 0.500 0.750

---

LiGa3F | the Alexandria database | PBE-GGA | relaxed; ΔE to the lowest computed polymorph = 124 kJ/mol of formula units; formation energy from raw total energies = -0.149 eV/atom; uncorrected energy = -2.7218 eV per atom; DOS at the Fermi energy = 0.51 states/eV/atom
1.0
4.607 0.000 0.000
0.000 4.607 0.000
0.000 0.000 4.607
Li Ga F
1 3 1
direct
0.000 0.000 0.000
0.000 0.500 0.000
0.000 0.000 0.500
0.500 0.000 0.000
0.500 0.500 0.500

---

K2TlPbBr8 | the Alexandria database | PBE-GGA | relaxed; formation energy from raw total energies = -0.893 eV/atom; uncorrected energy = -2.6971 eV per atom; DOS at the Fermi energy = 0.45 states/eV/atom
1.0
7.014 -0.425 -0.005
-0.463 7.444 -0.007
0.002 0.013 8.915
K Tl Pb Br
2 1 1 8
direct
0.499 0.500 0.754
0.501 0.500 0.246
0.000 0.000 0.000
0.000 0.000 0.500
0.115 0.774 0.245
0.654 0.807 0.999
0.884 0.225 0.245
0.885 0.226 0.755
0.346 0.193 0.001
0.116 0.775 0.755
0.635 0.792 0.500
0.365 0.208 0.500

---

RbZnCdPt2 | the Alexandria database | PBE-GGA | relaxed; energy of formation = 0.251 eV per atom; uncorrected energy = -2.7966 eV per atom; DOS at the Fermi energy = 0.33 states/eV/atom
1.0
-2.286 4.208 0.976
-4.325 -2.577 0.979
1.294 -0.387 4.698
Zn Rb Pt Cd
1 1 2 1
direct
0.000 0.000 0.000
0.500 0.500 0.500
0.000 0.000 0.500
0.500 0.000 0.000
0.000 0.500 0.000

---

LaMnCd2 | the Alexandria database | PBE-GGA | relaxed; energy of formation = 0.060 eV per atom; uncorrected energy = -3.9218 eV per atom; DOS at the Fermi energy = 0.67 states/eV/atom
1.0
-5.485 2.820 0.500
-4.596 -1.417 -3.893
3.986 -1.944 4.314
Cd La Mn
2 1 1
direct
0.966 0.966 0.000
0.534 0.534 0.000
0.250 0.750 0.500
0.750 0.250 0.500

---

Co3TcB | the Alexandria database | PBE-GGA | relaxed; ΔE to the lowest computed polymorph = 984 kJ/mol of formula units; energy of formation = 2.252 eV per atom; uncorrected energy = -5.4203 eV per atom; DOS at the Fermi energy = 1.29 states/eV/atom
1.0
4.386 0.000 0.000
0.000 4.386 0.000
0.000 0.000 4.386
B Co Tc
1 3 1
direct
0.500 0.500 0.500
0.000 0.500 0.000
0.000 0.000 0.500
0.500 0.000 0.000
0.000 0.000 0.000

---

Tb5Pm2Er12 | the Alexandria database | PBE-GGA | relaxed; ΔE to the lowest computed polymorph = 0 kJ/mol of formula units; energy of formation = 0.021 eV per atom; uncorrected energy = -4.5794 eV per atom; DOS at the Fermi energy = 1.39 states/eV/atom
1.0
6.111 0.245 -0.298
-2.736 8.212 -7.050
-0.268 -2.133 13.504
Tb Pm Er
5 2 12
direct
0.421 0.683 0.657
0.158 0.632 0.185
0.000 0.000 0.500
0.842 0.368 0.815
0.579 0.317 0.343
0.737 0.946 0.026
0.263 0.054 0.974
0.053 0.210 0.395
0.210 0.840 0.079
0.684 0.736 0.132
0.105 0.424 0.292
0.632 0.528 0.238
0.473 0.895 0.552
0.527 0.105 0.448
0.895 0.576 0.708
0.368 0.472 0.762
0.790 0.160 0.921
0.316 0.264 0.868
0.947 0.790 0.605

---

Ba2BePdO4 | the Alexandria database | PBE-GGA | relaxed; formation energy from raw total energies = -1.807 eV/atom; uncorrected energy = -5.8816 eV per atom; DOS at the Fermi energy = 0.29 states/eV/atom
1.0
-0.688 2.594 4.486
-3.083 -3.037 4.329
7.572 -2.159 5.455
Ba Be Pd O
4 2 2 8
direct
0.177 0.000 0.645
0.823 0.000 0.355
0.573 0.500 0.855
0.927 0.500 0.145
0.750 0.500 0.500
0.000 0.000 0.000
0.250 0.500 0.500
0.500 0.000 0.000
0.222 0.820 0.099
0.140 0.180 0.901
0.959 0.820 0.901
0.679 0.180 0.099
0.528 0.680 0.401
0.610 0.320 0.599
0.791 0.680 0.599
0.071 0.320 0.401

---

CaRe4Pt | the Alexandria database | PBE-GGA | relaxed; energy of formation = 0.369 eV per atom; uncorrected energy = -9.2706 eV per atom; DOS at the Fermi energy = 1.26 states/eV/atom
1.0
-3.489 -3.712 1.375
-4.531 1.372 2.331
-4.557 -0.440 -2.624
Ca Re Pt
1 4 1
direct
0.750 0.750 0.750
0.877 0.374 0.374
0.374 0.374 0.877
0.374 0.877 0.374
0.374 0.374 0.374
0.000 0.000 0.000

---

LiSc2Ru | the Alexandria database | PBE-GGA | relaxed; ΔE to the lowest computed polymorph = 112 kJ/mol of formula units; energy of formation = -0.074 eV per atom; uncorrected energy = -6.0370 eV per atom; DOS at the Fermi energy = 1.17 states/eV/atom
1.0
5.344 -0.005 0.000
2.426 4.762 0.000
-3.885 -2.379 2.794
Li Ru Sc
1 1 2
direct
0.500 0.500 0.000
0.750 0.250 0.500
0.000 0.000 0.000
0.250 0.750 0.500

---

Sm3PbSe | the Alexandria database | PBE-GGA | relaxed; ΔE to the lowest computed polymorph = 67 kJ/mol of formula units; formation energy from raw total energies = -0.839 eV/atom; uncorrected energy = -5.1090 eV per atom; DOS at the Fermi energy = 1.03 states/eV/atom
1.0
-0.404 -1.855 -6.576
9.375 -1.062 -0.277
-6.120 -8.707 2.832
Sm Pb Se
12 4 4
direct
0.089 0.717 0.665
0.911 0.283 0.335
0.589 0.783 0.835
0.411 0.217 0.165
0.583 0.670 0.468
0.417 0.330 0.532
0.083 0.830 0.032
0.917 0.170 0.968
0.183 0.581 0.179
0.817 0.419 0.821
0.683 0.919 0.321
0.317 0.081 0.679
0.800 0.008 0.650
0.200 0.992 0.350
0.300 0.492 0.850
0.700 0.508 0.150
0.234 0.493 0.398
0.766 0.507 0.602
0.734 0.007 0.102
0.266 0.993 0.898

---

HfGaHg2 | the Alexandria database | PBE-GGA | relaxed; energy of formation = -0.074 eV per atom; uncorrected energy = -3.4696 eV per atom; DOS at the Fermi energy = 0.43 states/eV/atom
1.0
4.506 0.000 0.000
0.000 4.229 0.000
0.000 0.000 4.229
Hf Hg Ga
1 2 1
direct
0.500 0.000 0.000
0.000 0.000 0.500
0.000 0.500 0.000
0.500 0.500 0.500

---

RbPdF5 | the Alexandria database | PBE-GGA | relaxed; formation energy from raw total energies = -1.752 eV/atom; uncorrected energy = -3.9683 eV per atom; DOS at the Fermi energy = 0.64 states/eV/atom
1.0
6.727 0.128 -1.693
-2.840 6.044 -1.880
-0.418 -1.125 6.835
Rb Pd F
2 2 10
direct
0.526 0.776 0.250
0.474 0.224 0.750
0.000 0.000 0.000
0.000 0.500 0.500
0.237 0.001 0.237
0.235 0.687 0.454
0.236 0.499 0.737
0.926 0.176 0.250
0.234 0.281 0.046
0.766 0.719 0.954
0.074 0.824 0.750
0.764 0.501 0.263
0.765 0.313 0.546
0.763 0.999 0.763

---

KTa4Zn | the Alexandria database | PBE-GGA | relaxed; energy of formation = 1.044 eV per atom; uncorrected energy = -7.2534 eV per atom; DOS at the Fermi energy = 1.14 states/eV/atom
1.0
0.000 4.008 4.008
4.008 0.000 4.008
4.008 4.008 0.000
K Ta Zn
1 4 1
direct
0.000 0.000 0.000
0.374 0.879 0.374
0.879 0.374 0.374
0.374 0.374 0.879
0.374 0.374 0.374
0.750 0.750 0.750

---

Nd4Cd3 | the Alexandria database | PBE-GGA | relaxed; ΔE to the lowest computed polymorph = 0 kJ/mol of formula units; energy of formation = -0.239 eV per atom; uncorrected energy = -3.3558 eV per atom; DOS at the Fermi energy = 1.36 states/eV/atom
1.0
6.695 0.000 0.000
-2.232 8.433 0.000
-2.232 -4.216 7.303
Nd Cd
8 6
direct
0.500 0.000 0.000
0.000 0.000 0.000
0.928 0.703 0.556
0.372 0.444 0.147
0.225 0.853 0.297
0.072 0.297 0.444
0.628 0.556 0.853
0.775 0.147 0.703
0.136 0.584 0.866
0.270 0.134 0.719
0.551 0.281 0.416
0.864 0.416 0.134
0.730 0.866 0.281
0.449 0.719 0.584

---

LiSm8Bi6 | the Alexandria database | PBE-GGA | relaxed; energy of formation = -0.628 eV per atom; uncorrected energy = -4.8246 eV per atom; DOS at the Fermi energy = 0.85 states/eV/atom
1.0
9.437 0.000 0.000
4.718 8.173 0.000
4.718 2.724 6.473
Li Sm Bi
1 8 6
direct
0.000 0.000 0.000
0.628 0.193 0.274
0.807 0.095 0.726
0.095 0.372 0.726
0.668 0.668 0.995
0.332 0.332 0.005
0.905 0.628 0.274
0.193 0.905 0.274
0.372 0.807 0.726
0.450 0.075 0.768
0.925 0.294 0.232
0.294 0.550 0.232
0.706 0.450 0.768
0.075 0.706 0.768
0.550 0.925 0.232

---

CeMg3Hg3 | the Alexandria database | PBE-GGA | relaxed; ΔE to the lowest computed polymorph = 0 kJ/mol of formula units; energy of formation = -0.212 eV per atom; uncorrected energy = -1.8728 eV per atom; DOS at the Fermi energy = 1.31 states/eV/atom
1.0
5.019 0.000 0.000
0.000 8.787 0.000
0.000 -4.393 7.609
Ce Mg Hg
2 6 6
direct
0.250 0.667 0.333
0.750 0.333 0.667
0.750 0.999 0.772
0.750 0.773 0.001
0.250 0.772 0.773
0.750 0.228 0.227
0.250 0.227 0.999
0.250 0.001 0.228
0.750 0.629 0.548
0.750 0.919 0.371
0.250 0.548 0.919
0.750 0.452 0.081
0.250 0.081 0.629
0.250 0.371 0.452